The following is a DFT calculation (PBE) of a relaxed LiNb2P2O10 crystal.

Geometry as POSCAR:
```
LiNb2P2O10
1.0
-4.090 4.132 2.923
1.183 -2.873 5.718
3.816 3.198 0.818
O Nb Li P
10 2 1 2
Cartesian
0.015 1.109 5.698 O
2.856 1.682 1.619 O
-0.445 2.226 3.474 O
1.335 4.899 2.186 O
3.603 -0.132 5.229 O
0.329 3.594 5.441 O
1.920 1.986 4.304 O
1.028 -1.071 2.952 O
0.424 1.749 0.791 O
-2.158 4.358 2.636 O
-1.157 2.810 1.652 Nb
3.520 1.018 3.486 Nb
0.000 0.000 0.000 Li
1.908 1.599 0.409 P
0.455 2.229 4.729 P
```

Computed properties:
- Spin magnetization: 1.00 μB/cell
- Offset from the most stable computed form: 18.6 meV/atom
- Space-group type: P-4m2
- Crystal system: tetragonal
- Mass density: 3.2 g/cm³

---

The following is a DFT calculation (PBE) of a relaxed RbHf2Mo crystal.

Geometry as POSCAR:
```
RbHf2Mo
1.0
7.840 0.000 0.000
0.000 7.840 0.000
3.920 3.920 5.662
Rb Hf Mo
2 4 2
Cartesian
3.920 3.920 0.000 Rb
3.920 7.840 2.831 Rb
7.840 1.960 1.416 Hf
7.841 5.880 1.416 Hf
9.801 3.920 4.247 Hf
5.880 3.920 4.247 Hf
0.000 0.000 0.000 Mo
7.840 3.920 2.831 Mo
```

Computed properties:
- Spin magnetization: 0.00 μB/cell
- Offset from the most stable computed form: 173.3 meV/atom
- Space-group type: I4_1/amd
- Crystal system: tetragonal
- Mass density: 5.1 g/cm³

---

The following is a DFT calculation (PBE) of a relaxed NaICl2 crystal.

Geometry as POSCAR:
```
NaICl2
1.0
-2.961 5.801 0.672
-3.062 -1.429 -5.608
-1.846 -5.999 6.936
Cl I Na
4 2 2
Cartesian
-2.826 2.388 -0.304 Cl
-4.954 -0.366 5.401 Cl
-3.782 -2.987 1.100 Cl
-4.099 -2.218 -2.281 Cl
-2.889 -4.628 2.871 I
-1.931 0.850 1.555 I
-2.854 -2.164 5.010 Na
-1.965 -1.613 -0.585 Na
```

Computed properties:
- Spin magnetization: 0.00 μB/cell
- Offset from the most stable computed form: 31.8 meV/atom
- Space-group type: C2/c
- Crystal system: monoclinic
- Mass density: 2.3 g/cm³

---

The following is a DFT calculation (PBE) of a relaxed Fe3C crystal.

Geometry as POSCAR:
```
Fe3C
1.0
4.660 0.000 0.000
-2.330 4.036 0.000
0.000 0.000 4.327
C Fe
2 6
Cartesian
2.330 1.345 3.245 C
0.000 2.690 1.082 C
1.498 0.000 0.000 Fe
1.581 2.739 0.000 Fe
3.162 0.000 2.164 Fe
-0.749 1.297 0.000 Fe
0.749 1.297 2.164 Fe
-1.581 2.739 2.164 Fe
```

Computed properties:
- Spin magnetization: 12.09 μB/cell
- Space-group type: P6_322
- Crystal system: hexagonal
- Mass density: 7.3 g/cm³
- DFT total energy: -0.3159 hartree per atom